one | The following is a DFT calculation (SCAN) of KZr2Ta at its PBEsol-relaxed geometry.

abc: 7.103 7.103 7.103
angles: 90.00 90.00 90.00
Space group F-43m (No. 216)
Unique sites:
1 K 0.000 0.000 0.000 [4 per cell]
2 Zr 0.000 0.000 0.500 [4 per cell]
3 Zr 0.250 0.250 0.250 [4 per cell]
4 Ta 0.250 0.250 0.750 [4 per cell]

two | The following is a DFT calculation (SCAN) of KZr2Ta at its PBEsol-relaxed geometry.

abc: 4.847 4.847 3.782
angles: 90.00 90.00 90.00
Space group P4/mmm (No. 123)
Unique sites:
1 K 0.000 0.000 0.000 [1 per cell]
2 Zr 0.000 0.500 0.500 [2 per cell]
3 Ta 0.500 0.500 0.000 [1 per cell]

three | The following is a DFT calculation (SCAN) of KZr2Ta at its PBEsol-relaxed geometry.

abc: 2.902 5.749 11.507
angles: 90.00 90.00 90.00
Space group Imm2 (No. 44)
Unique sites:
1 K 0.000 0.000 0.000 [2 per cell]
2 Zr 0.000 0.000 0.467 [2 per cell]
3 Zr 0.000 0.500 0.217 [2 per cell]
4 Ta 0.000 0.500 0.765 [2 per cell]

We find three to be the most stable, with the next structure 0.195 eV/atom higher.

one | The following is a DFT calculation (SCAN) of K5Tc at its PBEsol-relaxed geometry.

abc: 15.313 3.860 11.358
angles: 90.00 114.43 90.00
Space group Cm (No. 8)
Unique sites:
1 K 0.000 0.000 0.000 [2 per cell]
2 K 0.036 0.000 0.387 [2 per cell]
3 K 0.162 0.500 0.765 [2 per cell]
4 K 0.287 0.000 0.143 [2 per cell]
5 K 0.324 0.000 0.530 [2 per cell]
6 Tc 0.162 0.500 0.265 [2 per cell]

two | The following is a DFT calculation (SCAN) of K5Tc at its PBEsol-relaxed geometry.

abc: 6.522 3.808 23.588
angles: 90.00 90.00 90.00
Space group Amm2 (No. 38)
Unique sites:
1 K 0.000 0.000 0.000 [2 per cell]
2 K 0.000 0.000 0.265 [2 per cell]
3 K 0.500 0.000 0.187 [2 per cell]
4 K 0.500 0.000 0.552 [2 per cell]
5 K 0.500 0.000 0.873 [2 per cell]
6 Tc 0.000 0.000 0.632 [2 per cell]

We find one to be the most stable, with the next structure 0.065 eV/atom higher.